# Li2BiF8 (PBE-GGA, optimized geometry)
data_Li2BiF8
_cell_length_a 5.582
_cell_length_b 5.582
_cell_length_c 10.144
_cell_angle_alpha 90.00
_cell_angle_beta 90.00
_cell_angle_gamma 90.00
_space_group_name_H-M_alt 'I 4 2 2'
_space_group_IT_number 97
_space_group_name_Hall 'I 4 2'
loop_
_atom_site_label
_atom_site_type_symbol
_atom_site_fract_x
_atom_site_fract_y
_atom_site_fract_z
Li1 Li 0.000 0.500 0.250
Bi1 Bi 0.000 0.000 0.000
F1 F 0.131 0.289 0.883
# E above lowest polymorph = 2.7 kJ/mol of atoms
# uncorrected formation energy = -2.01 eV per atom
# final energy = -4.0680 eV/atom
# crystal system = tetragonal